Compound: Cd9In2Hg14
Source: Alexandria via LeMat-Bulk
Functional: PBE
Structure: optimized geometry

a b c (Å): 5.828 5.828 21.994
angles (deg): 90.00 90.00 120.00
Sites, in units of the cell vectors:
Hg 0.989 0.323 0.558
Hg 0.011 0.677 0.442
In 0.667 0.333 0.782
Hg 0.000 0.000 0.225
Cd 0.643 0.976 0.671
Cd 0.667 0.643 0.329
Cd 0.000 0.000 0.000
Hg 0.024 0.678 0.886
Cd 0.976 0.333 0.329
Cd 0.024 0.667 0.671
Cd 0.333 0.667 0.004
Cd 0.667 0.333 0.996
Hg 0.323 0.334 0.442
Hg 0.666 0.989 0.442
Hg 0.678 0.654 0.114
Cd 0.333 0.357 0.671
Hg 0.322 0.346 0.886
Hg 0.654 0.976 0.886
In 0.333 0.667 0.218
Hg 0.000 0.000 0.775
Hg 0.976 0.322 0.114
Hg 0.677 0.666 0.558
Hg 0.346 0.024 0.114
Hg 0.334 0.011 0.558
Cd 0.357 0.024 0.329

Summary:
DFT formation energy in eV per atom: 0.0433
N(E_F) in states/eV/f.u.: 5.50